CaGaSn2P: optimized geometry, PBE.

Summary:
DFT total energy ... -3.641 eV per atom
M_tot ... 0.000 Bohr magnetons per cell
Energy of formation from the pure elements ... 0.047 eV per atom

Geometry as POSCAR:
```
CaGaSn2P
1.0
-0.442 -5.181 1.589
3.913 -1.051 -2.338
2.947 1.108 4.433
Ca P Sn Ga
1 1 2 1
Cartesian
3.209 -2.562 1.842
0.000 0.000 0.000
1.473 0.554 2.216
-0.221 -2.590 0.794
1.956 -0.525 -1.169
```